Entry from the Alexandria database: crystalline Li4Ti5Cr3O16 at its relaxed geometry (PBE+U).

## Properties
electronic total energy	-7.876	eV per atom
space-group type	No. 8

Unit cell a=5.9347 b=5.9347 c=9.5663 alpha=89.98 beta=89.98 gamma=59.92
Site moments in Bohr magnetons follow the coordinates.
Fractional coordinates of all 28 atoms:
1 O 0.9999 0.9999 0.6916  -0.01
2 O 0.5238 0.9645 0.1593  -0.02
3 O 0.4835 0.0396 0.6613  -0.02
4 O 0.5237 0.5237 0.1589  -0.05
5 O 0.8281 0.3324 0.9048  -0.02
6 O 0.3366 0.3366 0.8964  -0.01
7 O 0.4799 0.4799 0.6595  0.00
8 O 0.1684 0.6634 0.4043  -0.02
9 O 0.9645 0.5238 0.1593  -0.02
10 O 0.9988 0.9988 0.1940  -0.02
11 O 0.8320 0.8320 0.9012  -0.01
12 O 0.6746 0.6746 0.3956  -0.02
13 O 0.3324 0.8281 0.9048  -0.02
14 O 0.0396 0.4835 0.6613  -0.02
15 O 0.1684 0.1684 0.4074  -0.03
16 O 0.6634 0.1684 0.4043  -0.02
17 Li 0.6662 0.6662 0.6010  0.00
18 Li 0.3371 0.3371 0.1043  0.00
19 Li 0.9991 0.9991 0.0068  0.00
20 Li 0.9999 0.9999 0.5037  0.00
21 Ti 0.6574 0.6574 0.0071  0.25
22 Ti 0.3340 0.3340 0.5021  0.16
23 Ti 0.8265 0.8265 0.2744  0.09
24 Ti 0.6560 0.1642 0.7813  0.21
25 Ti 0.1642 0.6560 0.7813  0.21
26 Cr 0.1690 0.1690 0.7889  3.02
27 Cr 0.3414 0.8312 0.2885  3.00
28 Cr 0.8312 0.3414 0.2885  3.00